CsWN2F after structural relaxation, computed with PBE+U.

Properties
Its total energy is -3.20 eV per atom. The density of states at the Fermi level is 0.420 states/eV per atom. Its excess energy over the best structure of this formula in the dataset is 2598 meV/atom.

abc: 4.4612 4.4612 4.8072
angles: 90.00 90.00 90.00
Last column: nearest neighbours and their distance in Å.
Fractional coordinates of all 5 atoms:
Cs1 0.0000 0.0000 0.0000  4 N 2.23, 2 F 2.40
N1 0.0000 0.5000 0.0000  2 Cs 2.23
N2 0.5000 0.0000 0.0000  2 Cs 2.23
W1 0.5000 0.5000 0.5000  4 F 3.15, 8 N 3.28
F1 0.0000 0.0000 0.5000  2 Cs 2.40